(1)
This record from Alexandria describes a geometry-optimized Hf2PaCo2 structure. The functional is PBE.

Summary:
**Magnetization**: 0.000 Bohr magnetons per cell
**Energy relative to the elements**: 0.101 eV per atom
**DOS at the Fermi energy**: 4.9 states/eV/f.u.

Geometry as extended XYZ:
```
10
Lattice="5.498 0.000 0.000 0.000 5.360 0.000 0.000 -2.680 6.465" Properties=species:S:1:pos:R:3 pbc="T T T"
Hf 4.123 0.000 5.350
Hf 4.123 2.680 3.658
Hf 1.374 2.680 1.115
Hf 1.374 0.000 2.808
Pa 0.000 0.000 0.000
Pa 2.749 0.000 0.000
Co 4.123 1.381 1.582
Co 1.374 -1.299 4.884
Co 1.374 1.299 4.884
Co 4.123 3.979 1.582
```

(2)
This record from Alexandria describes a geometry-optimized RbPdF2 structure. The functional is PBE.

Summary:
**Magnetization**: 2.000 Bohr magnetons per cell
**Formation energy (no corrections)**: -1.4130 eV/atom
**DOS at the Fermi energy**: 1.1 states/eV/f.u.

Geometry as extended XYZ:
```
8
Lattice="5.110 0.000 0.000 0.000 5.110 0.000 2.555 2.555 6.791" Properties=species:S:1:pos:R:3 pbc="T T T"
Rb 2.555 2.555 0.000
Rb 2.555 5.110 3.395
Pd 0.000 0.000 0.000
Pd 5.110 2.555 3.395
F 4.328 1.278 1.698
F 0.783 3.833 1.698
F 3.833 3.338 5.093
F 6.388 6.883 5.093
```

(3)
This record from Alexandria describes a geometry-optimized Ac2LaCe structure. The functional is PBE.

Summary:
**Magnetization**: 1.119 Bohr magnetons per cell
**Energy relative to the elements**: 0.094 eV per atom
**DOS at the Fermi energy**: 9.5 states/eV/f.u.

Geometry as extended XYZ:
```
4
Lattice="-1.252 -3.036 -1.911 3.554 -0.775 -1.098 1.372 -6.049 8.713" Properties=species:S:1:pos:R:3 pbc="T T T"
Ac 1.015 -4.475 6.445
Ac 0.357 -1.574 2.268
Ce 1.837 -4.930 2.852
La 1.151 -1.906 -1.504
```

(4)
This record from Alexandria describes a geometry-optimized Ca2CdCo structure. The functional is PBE.

Summary:
**Magnetization**: 0.651 Bohr magnetons per cell
**Energy relative to the elements**: 0.109 eV per atom
**DOS at the Fermi energy**: 4.6 states/eV/f.u.

Geometry as extended XYZ:
```
4
Lattice="6.255 0.052 0.067 5.217 3.452 0.067 2.022 0.618 4.649" Properties=species:S:1:pos:R:3 pbc="T T T"
Ca 2.421 0.740 4.456
Ca 3.288 1.004 1.237
Co 10.293 3.144 3.510
Cd 6.262 1.913 2.621
```

Copy entry 4 word for word.
This record from Alexandria describes a geometry-optimized Ca2CdCo structure. The functional is PBE.

Summary:
**Magnetization**: 0.651 Bohr magnetons per cell
**Energy relative to the elements**: 0.109 eV per atom
**DOS at the Fermi energy**: 4.6 states/eV/f.u.

Geometry as extended XYZ:
```
4
Lattice="6.255 0.052 0.067 5.217 3.452 0.067 2.022 0.618 4.649" Properties=species:S:1:pos:R:3 pbc="T T T"
Ca 2.421 0.740 4.456
Ca 3.288 1.004 1.237
Co 10.293 3.144 3.510
Cd 6.262 1.913 2.621
```